First-principles (PBE) data for an optimized crystal structure of Tl4In5Bi2, as listed in Alexandria.

a b c (Å): 3.477 11.102 17.537
angles (deg): 90.00 90.00 90.00
Space group Immm (No. 71)
Inequivalent atoms, fractional coordinates:
Tl  0.000  0.000  0.095 x4
Tl  0.000  0.246  0.500 x4
In  0.000  0.290  0.319 x8
In  0.000  0.500  0.000 x2
Bi  0.000  0.000  0.337 x4

Summary:
The formation energy from the elements is 0.0671 eV/atom.


First-principles (PBE) data for an optimized crystal structure of TlInBi2, as listed in Alexandria.

a b c (Å): 6.927 6.927 13.819
angles (deg): 90.00 90.00 90.00
Space group I-42d (No. 122)
Inequivalent atoms, fractional coordinates:
Tl  0.000  0.000  0.000 x4
In  0.000  0.000  0.500 x4
Bi  0.242  0.250  0.625 x8

Summary:
The formation energy from the elements is 0.1038 eV/atom.


The highest formation energy from the elements belongs to which entry?
TlInBi2


Which formula does entry 2 have?
TlInBi2


Which formula does entry 2 have?
TlInBi2


Which of these has the lowest formation energy from the elements?
Tl4In5Bi2